Record 1
The following is a PBE calculation of a relaxed DyFe2Pd7 crystal, from Alexandria.

POSCAR file:
```
DyFe2Pd7
1.0
-0.294 -0.422 -4.392
4.832 -5.306 0.187
-6.985 -1.540 0.615
Pd Dy Fe
7 1 2
Cartesian
0.870 -1.946 -2.097 Pd
-0.476 -6.228 -1.595 Pd
-3.316 -5.323 -1.492 Pd
2.200 -4.467 0.283 Pd
-1.223 -3.634 -1.795 Pd
-4.353 -2.379 0.520 Pd
-1.970 -1.041 -1.994 Pd
0.000 0.000 0.000 Dy
-3.555 -2.891 -1.710 Fe
1.109 -4.377 -1.879 Fe
```

formation energy from the elements: 117 meV per atom
uncorrected energy: -56.71 eV/cell

***

Record 2
The following is a PBE calculation of a relaxed SrZr2Se crystal, from Alexandria.

POSCAR file:
```
SrZr2Se
1.0
6.763 -0.008 0.002
4.038 5.425 -0.002
-4.865 -3.777 2.794
Sr Zr Se
1 2 1
Cartesian
2.287 2.178 1.396 Sr
5.896 2.957 0.000 Zr
10.305 5.168 0.000 Zr
3.649 -0.538 1.398 Se
```

E_form (uncorrected): -0.363 eV per atom
uncorrected energy: -23.71 eV/cell

***

Record 3
The following is a PBE calculation of a relaxed TiAg2BrF crystal, from Alexandria.

POSCAR file:
```
TiAg2BrF
1.0
5.236 0.000 0.000
0.000 4.929 0.000
0.000 0.000 5.236
F Ag Ti Br
1 2 1 1
Cartesian
2.618 2.464 2.618 F
2.618 0.000 0.000 Ag
0.000 0.000 2.618 Ag
0.000 2.464 0.000 Ti
0.000 0.000 0.000 Br
```

E_form (uncorrected): 0.390 eV per atom
uncorrected energy: -15.19 eV/cell

***

Record 4
The following is a PBE calculation of a relaxed TaCrW crystal, from Alexandria.

POSCAR file:
```
TaCrW
1.0
-0.390 -2.482 1.574
1.209 -0.134 -2.704
5.683 0.696 2.506
Ta W Cr
1 1 1
Cartesian
2.491 -0.694 -0.477 Ta
4.064 -1.219 1.878 W
5.629 0.690 2.483 Cr
```

formation energy from the elements: 356 meV per atom
uncorrected energy: -33.36 eV/cell
distance to the lowest polymorph of the same formula: 0.389 eV/atom

***

Record 5
The following is a PBE calculation of a relaxed CoRuW2 crystal, from Alexandria.

POSCAR file:
```
CoRuW2
1.0
4.332 0.000 0.000
2.166 3.752 0.000
2.166 1.251 3.537
Ru W Co
1 2 1
Cartesian
6.498 3.752 2.653 Ru
2.166 1.251 0.884 W
0.000 0.000 0.000 W
4.332 2.501 1.769 Co
```

formation energy from the elements: 248 meV per atom
uncorrected energy: -41.30 eV/cell
distance to the lowest polymorph of the same formula: 0.208 eV/atom

***

Record 6
The following is a PBE calculation of a relaxed Np3Tl2Se8 crystal, from Alexandria.

POSCAR file:
```
Np3Tl2Se8
1.0
8.357 0.000 0.000
-4.178 7.237 0.000
0.000 0.000 15.313
Se Np Tl
16 6 4
Cartesian
-1.887 3.735 5.315 Se
4.178 0.233 12.971 Se
6.415 1.121 2.341 Se
0.000 2.242 9.997 Se
2.236 6.116 9.997 Se
-2.236 6.116 9.997 Se
0.000 0.000 5.313 Se
0.000 4.825 2.347 Se
0.000 7.004 5.315 Se
1.887 3.735 5.315 Se
4.178 4.995 2.341 Se
1.942 1.121 2.341 Se
6.065 3.502 12.971 Se
4.178 2.412 10.003 Se
2.291 3.502 12.971 Se
0.000 0.000 12.969 Se
4.178 4.857 11.451 Np
-2.117 6.047 3.795 Np
2.117 6.047 3.795 Np
0.000 2.380 3.795 Np
2.061 1.190 11.451 Np
6.295 1.190 11.451 Np
0.000 4.825 14.462 Tl
4.178 2.412 0.087 Tl
4.178 2.412 6.805 Tl
0.000 4.825 7.743 Tl
```

E_form (uncorrected): -0.795 eV per atom
uncorrected energy: -163.54 eV/cell

***

Record 7
The following is a PBE calculation of a relaxed SrY2Rh crystal, from Alexandria.

POSCAR file:
```
SrY2Rh
1.0
5.860 0.000 0.000
2.001 5.508 0.000
-3.931 -2.754 3.363
Sr Y Rh
1 2 1
Cartesian
2.930 0.000 1.681 Sr
3.931 2.754 0.000 Y
0.000 0.000 0.000 Y
1.001 2.754 1.681 Rh
```

formation energy from the elements: 159 meV per atom
uncorrected energy: -21.32 eV/cell
distance to the lowest polymorph of the same formula: 0.506 eV/atom

***

Record 8
The following is a PBE calculation of a relaxed Tl2POs crystal, from Alexandria.

POSCAR file:
```
Tl2POs
1.0
-1.558 2.304 6.547
1.558 -2.304 6.547
1.558 2.304 -6.547
Tl Os P
2 1 1
Cartesian
0.000 0.000 0.179 Tl
0.000 2.304 2.676 Tl
0.000 0.000 5.943 Os
1.558 0.000 4.296 P
```

formation energy from the elements: 394 meV per atom
uncorrected energy: -19.79 eV/cell
distance to the lowest polymorph of the same formula: 0.236 eV/atom